Material: CrHS2
Method: DFT, PBE
State: relaxed

Calculated values
Offset from the most stable computed form in meV/atom: 5
SG: No. 2
Total energy in eV/f.u.: -23.06

Unit cell a=8.170 b=3.367 c=5.657 alpha=90.00 beta=118.79 gamma=114.25
Last column: magnetic moment on the atom in μB.
Element x y z (fractional)
H 0.646 0.531 0.261  0.00
H 0.872 0.259 0.943  0.00
S 0.430 0.314 0.133  -0.02
S 0.089 0.475 0.070  -0.02
S 0.500 0.884 0.684  -0.05
S 0.019 0.905 0.519  -0.05
Cr 0.249 0.635 0.785  1.03
Cr 0.270 0.155 0.418  1.03

---

Material: AsOsI2O
Method: DFT, PBE
State: relaxed

Calculated values
Offset from the most stable computed form in meV/atom: 0
SG: No. 123
Formation energy from raw total energies in eV/f.u.: 1.5
Total energy in eV/f.u.: -22.43

Unit cell a=5.544 b=5.544 c=3.742 alpha=90.00 beta=90.00 gamma=90.00
Element x y z (fractional)
I 0.000 0.500 0.000
I 0.500 0.000 0.000
As 0.500 0.500 0.500
Os 0.000 0.000 0.000
O 0.000 0.000 0.500

---

Material: MnV2Zn
Method: DFT, PBE
State: relaxed

Calculated values
ΔH_f (0 K) in eV per atom: -0.03
SG: No. 123
Total energy in eV/f.u.: -28.82

Unit cell a=2.872 b=2.872 c=6.268 alpha=90.00 beta=90.00 gamma=90.00
Element x y z (fractional)
Zn 0.500 0.500 0.500
Mn 0.500 0.500 0.000
V 0.000 0.000 0.776
V 0.000 0.000 0.224

---

Material: Tm5CdCu2
Method: DFT, PBE
State: relaxed

Calculated values
ΔH_f (0 K) in eV per atom: -0.19
SG: No. 140
Total energy in eV/f.u.: -32.99

Unit cell a=7.792 b=7.792 c=8.450 alpha=117.45 beta=117.45 gamma=90.00
Element x y z (fractional)
Tm 0.518 0.701 0.719
Tm 0.799 0.982 0.281
Tm 0.000 0.000 0.000
Tm 0.500 0.500 0.000
Tm 0.201 0.018 0.719
Tm 0.701 0.201 0.719
Tm 0.018 0.518 0.719
Tm 0.299 0.799 0.281
Tm 0.982 0.482 0.281
Tm 0.482 0.299 0.281
Cd 0.750 0.750 0.500
Cd 0.250 0.250 0.500
Cu 0.128 0.372 0.000
Cu 0.628 0.128 0.000
Cu 0.372 0.872 0.000
Cu 0.872 0.628 0.000

---

Material: Ca3MnB
Method: DFT, PBE
State: relaxed

Calculated values
ΔH_f (0 K) in eV per atom: 0.55
Offset from the most stable computed form in meV/atom: 0
SG: No. 221
Total energy in eV/f.u.: -19.10

Unit cell a=5.270 b=5.270 c=5.270 alpha=90.00 beta=90.00 gamma=90.00
Last column: magnetic moment on the atom in μB.
Element x y z (fractional)
Ca 0.000 0.500 0.000  -0.03
Ca 0.000 0.000 0.500  -0.03
Ca 0.500 0.000 0.000  -0.04
Mn 0.500 0.500 0.500  4.11
B 0.000 0.000 0.000  0.05

---

Material: NiPb2Se
Method: DFT, PBE
State: relaxed

Calculated values
SG: No. 160
Formation energy from raw total energies in eV/f.u.: -0.4
Total energy in eV/f.u.: -17.09

Unit cell a=8.569 b=8.569 c=8.569 alpha=24.88 beta=24.88 gamma=24.88
Element x y z (fractional)
Ni 0.765 0.765 0.765
Pb 0.025 0.025 0.025
Pb 0.241 0.241 0.241
Se 0.469 0.469 0.469

---

Material: Al6ZnAg12
Method: DFT, PBE
State: relaxed

Calculated values
ΔH_f (0 K) in eV per atom: -0.03
Offset from the most stable computed form in meV/atom: 0
SG: No. 148
Total energy in eV/f.u.: -58.54

Unit cell a=7.062 b=7.616 c=7.616 alpha=69.10 beta=71.99 gamma=108.01
Element x y z (fractional)
Al 0.426 0.479 0.213
Al 0.053 0.692 0.521
Al 0.361 0.787 0.692
Al 0.574 0.521 0.787
Al 0.947 0.308 0.479
Al 0.639 0.213 0.308
Zn 0.000 0.000 0.000
Ag 0.528 0.851 0.267
Ag 0.677 0.882 0.851
Ag 0.795 0.267 0.882
Ag 0.472 0.149 0.733
Ag 0.323 0.118 0.149
Ag 0.205 0.733 0.118
Ag 0.263 0.431 0.630
Ag 0.107 0.370 0.061
Ag 0.168 0.061 0.569
Ag 0.737 0.569 0.370
Ag 0.893 0.630 0.939
Ag 0.832 0.939 0.431

---

Material: TaCrPt6
Method: DFT, PBE
State: relaxed

Calculated values
ΔH_f (0 K) in eV per atom: -0.51
SG: No. 123
Total energy in eV/f.u.: -61.80

Unit cell a=3.971 b=3.971 c=7.910 alpha=90.00 beta=90.00 gamma=90.00
Last column: magnetic moment on the atom in μB.
Element x y z (fractional)
Ta 0.000 0.000 0.500  0.08
Cr 0.000 0.000 0.000  3.22
Pt 0.500 0.500 0.000  -0.04
Pt 0.500 0.500 0.500  0.00
Pt 0.500 0.000 0.253  0.01
Pt 0.500 0.000 0.747  0.01
Pt 0.000 0.500 0.253  0.01
Pt 0.000 0.500 0.747  0.01

---

Material: LiSm2ThSe5
Method: DFT, PBE
State: relaxed

Calculated values
SG: No. 36
Formation energy from raw total energies in eV/f.u.: -14.9
Total energy in eV/f.u.: -51.09

Unit cell a=4.105 b=8.934 c=12.639 alpha=90.00 beta=90.00 gamma=103.28
Element x y z (fractional)
Li 0.510 0.021 0.977
Li 0.490 0.979 0.477
Sm 0.875 0.751 0.795
Sm 0.110 0.220 0.688
Sm 0.125 0.249 0.295
Sm 0.890 0.780 0.188
Th 0.805 0.609 0.502
Th 0.195 0.391 0.002
Se 0.363 0.725 0.001
Se 0.689 0.378 0.836
Se 0.499 0.999 0.784
Se 0.289 0.578 0.669
Se 0.957 0.914 0.572
Se 0.637 0.275 0.501
Se 0.311 0.622 0.336
Se 0.501 0.001 0.284
Se 0.711 0.422 0.169
Se 0.043 0.086 0.072

---

Material: CoAu2Br
Method: DFT, PBE
State: relaxed

Calculated values
Offset from the most stable computed form in meV/atom: 2
SG: No. 8
Formation energy from raw total energies in eV/f.u.: 0.9
Total energy in eV/f.u.: -14.40

Unit cell a=4.696 b=4.696 c=6.537 alpha=79.67 beta=79.67 gamma=40.24
Last column: magnetic moment on the atom in μB.
Element x y z (fractional)
Au 0.950 0.950 0.035  0.06
Au 0.698 0.698 0.845  0.02
Br 0.638 0.638 0.449  0.11
Co 0.214 0.214 0.171  1.92

---

Material: Y8P4Se3S
Method: DFT, PBE
State: relaxed

Calculated values
SG: No. 166
Formation energy from raw total energies in eV/f.u.: -29.0
Total energy in eV/f.u.: -116.96

Unit cell a=8.030 b=8.112 c=8.030 alpha=119.66 beta=120.00 gamma=90.00
Element x y z (fractional)
Y 0.254 0.768 0.014
Y 0.254 0.768 0.508
Y 0.243 0.228 0.486
Y 0.760 0.768 0.014
Y 0.240 0.232 0.986
Y 0.757 0.772 0.514
Y 0.746 0.232 0.492
Y 0.746 0.232 0.986
P 0.500 0.000 0.000
P 0.500 0.000 0.500
P 0.000 0.000 0.000
P 0.000 0.000 0.500
Se 0.500 0.500 0.000
Se 0.500 0.500 0.500
Se 0.000 0.500 0.500
S 0.000 0.500 0.000

---

Material: Mn2NiI4
Method: DFT, PBE
State: relaxed

Calculated values
SG: No. 139
Formation energy from raw total energies in eV/f.u.: 1.1
Total energy in eV/f.u.: -29.22

Unit cell a=5.580 b=5.580 c=7.810 alpha=69.07 beta=69.07 gamma=90.00
Last column: magnetic moment on the atom in μB.
Element x y z (fractional)
I 0.795 0.795 0.411  0.07
I 0.205 0.205 0.589  0.07
I 0.000 0.500 0.000  0.08
I 0.500 0.000 0.000  0.08
Ni 0.000 0.000 0.000  0.71
Mn 0.601 0.601 0.799  4.16
Mn 0.399 0.399 0.201  4.16

---

Material: CuAs5
Method: DFT, PBE
State: relaxed

Calculated values
ΔH_f (0 K) in eV per atom: 0.24
Offset from the most stable computed form in meV/atom: 0
SG: No. 65
Total energy in eV/f.u.: -25.93

Unit cell a=7.040 b=7.040 c=5.306 alpha=90.00 beta=90.00 gamma=154.89
Element x y z (fractional)
Cu 0.500 0.500 0.500
As 0.500 0.500 0.000
As 0.168 0.832 0.000
As 0.832 0.168 0.000
As 0.149 0.851 0.500
As 0.851 0.149 0.500

---

Material: Be2CrCu2
Method: DFT, PBE
State: relaxed

Calculated values
ΔH_f (0 K) in eV per atom: 0.13
Offset from the most stable computed form in meV/atom: 42
SG: No. 127
Total energy in eV/f.u.: -24.60

Unit cell a=6.650 b=6.650 c=2.356 alpha=90.00 beta=90.00 gamma=90.00
Element x y z (fractional)
Cr 0.000 0.000 0.000
Cr 0.500 0.500 0.000
Cu 0.371 0.871 0.000
Cu 0.871 0.629 0.000
Cu 0.629 0.129 0.000
Cu 0.129 0.371 0.000
Be 0.170 0.670 0.500
Be 0.670 0.830 0.500
Be 0.830 0.330 0.500
Be 0.330 0.170 0.500

---

Material: NiMo2Os
Method: DFT, PBE
State: relaxed

Calculated values
ΔH_f (0 K) in eV per atom: 0.03
Offset from the most stable computed form in meV/atom: 37
SG: No. 25
Total energy in eV/f.u.: -38.57

Unit cell a=4.370 b=2.779 c=4.724 alpha=89.99 beta=90.00 gamma=90.00
Element x y z (fractional)
Ni 0.000 0.625 0.449
Mo 0.000 0.125 0.954
Mo 0.500 0.125 0.306
Os 0.500 0.625 0.791

---

Material: LiPr12Ni6
Method: DFT, PBE
State: relaxed

Calculated values
ΔH_f (0 K) in eV per atom: -0.18
SG: No. 204
Total energy in eV/f.u.: -97.39

Unit cell a=8.812 b=8.812 c=8.812 alpha=109.47 beta=109.47 gamma=109.47
Element x y z (fractional)
Li 0.000 0.000 0.000
Pr 0.309 0.122 0.813
Pr 0.309 0.497 0.187
Pr 0.691 0.503 0.813
Pr 0.691 0.878 0.187
Pr 0.122 0.813 0.309
Pr 0.497 0.187 0.309
Pr 0.503 0.813 0.691
Pr 0.878 0.187 0.691
Pr 0.813 0.309 0.122
Pr 0.187 0.309 0.497
Pr 0.813 0.691 0.503
Pr 0.187 0.691 0.878
Ni 0.380 0.500 0.880
Ni 0.620 0.500 0.120
Ni 0.500 0.880 0.380
Ni 0.500 0.120 0.620
Ni 0.880 0.380 0.500
Ni 0.120 0.620 0.500

---

Material: NaY2ScC
Method: DFT, PBE
State: relaxed

Calculated values
ΔH_f (0 K) in eV per atom: 0.01
SG: No. 123
Total energy in eV/f.u.: -29.75

Unit cell a=5.111 b=5.111 c=4.599 alpha=90.00 beta=90.00 gamma=90.00
Element x y z (fractional)
Y 0.000 0.500 0.000
Y 0.500 0.000 0.000
Sc 0.000 0.000 0.500
C 0.000 0.000 0.000
Na 0.500 0.500 0.500

---

Material: SmPaPb2O6
Method: DFT, PBE
State: relaxed

Calculated values
SG: No. 14
Formation energy from raw total energies in eV/f.u.: -25.6
Total energy in eV/f.u.: -76.98

Unit cell a=6.069 b=6.261 c=8.729 alpha=90.00 beta=89.82 gamma=90.00
Element x y z (fractional)
Sm 0.500 0.000 0.000
Sm 0.000 0.500 0.500
Pa 0.500 0.000 0.500
Pa 0.000 0.500 0.000
Pb 0.007 0.971 0.252
Pb 0.507 0.529 0.752
Pb 0.993 0.029 0.748
Pb 0.493 0.471 0.248
O 0.300 0.685 0.050
O 0.800 0.815 0.550
O 0.700 0.315 0.950
O 0.200 0.185 0.450
O 0.319 0.706 0.445
O 0.819 0.794 0.945
O 0.681 0.294 0.555
O 0.181 0.206 0.055
O 0.893 0.530 0.241
O 0.393 0.970 0.741
O 0.107 0.470 0.759
O 0.607 0.030 0.259

---

Material: Cs2RbCo2
Method: DFT, PBE
State: relaxed

Calculated values
ΔH_f (0 K) in eV per atom: 0.87
Offset from the most stable computed form in meV/atom: 114
SG: No. 127
Total energy in eV/f.u.: -12.53

Unit cell a=9.326 b=9.326 c=5.588 alpha=90.00 beta=90.00 gamma=90.00
Last column: magnetic moment on the atom in μB.
Element x y z (fractional)
Cs 0.165 0.665 0.500  -0.02
Cs 0.665 0.835 0.500  -0.02
Cs 0.835 0.335 0.500  -0.02
Cs 0.335 0.165 0.500  -0.02
Co 0.421 0.921 0.000  1.89
Co 0.921 0.579 0.000  1.89
Co 0.579 0.079 0.000  1.89
Co 0.079 0.421 0.000  1.89
Rb 0.000 0.000 0.000  -0.01
Rb 0.500 0.500 0.000  -0.01

---

Material: SrTiP3
Method: DFT, PBE
State: relaxed

Calculated values
ΔH_f (0 K) in eV per atom: -0.54
Offset from the most stable computed form in meV/atom: 0
SG: No. 221
Total energy in eV/f.u.: -28.53

Unit cell a=4.782 b=4.782 c=4.782 alpha=90.00 beta=90.00 gamma=90.00
Element x y z (fractional)
Sr 0.500 0.500 0.500
P 0.000 0.500 0.000
P 0.000 0.000 0.500
P 0.500 0.000 0.000
Ti 0.000 0.000 0.000

---

Material: Dy6SiTe3S2
Method: DFT, PBE
State: relaxed

Calculated values
SG: No. 12
Formation energy from raw total energies in eV/f.u.: -18.1
Total energy in eV/f.u.: -68.80

Unit cell a=7.109 b=7.109 c=7.440 alpha=99.14 beta=99.14 gamma=119.97
Element x y z (fractional)
Dy 0.930 0.598 0.790
Dy 0.738 0.738 0.209
Dy 0.070 0.402 0.210
Dy 0.598 0.930 0.790
Dy 0.262 0.262 0.791
Dy 0.402 0.070 0.210
Si 0.000 0.000 0.000
Te 0.167 0.833 0.500
Te 0.833 0.167 0.500
Te 0.500 0.500 0.500
S 0.333 0.667 0.000
S 0.667 0.333 0.000

---

Material: ScCuIr2
Method: DFT, PBE
State: relaxed

Calculated values
ΔH_f (0 K) in eV per atom: -0.31
SG: No. 6
Total energy in eV/f.u.: -29.38

Unit cell a=3.926 b=2.840 c=6.140 alpha=62.35 beta=90.00 gamma=90.00
Element x y z (fractional)
Cu 0.500 0.736 0.765
Ir 0.000 0.001 0.999
Ir 0.500 0.264 0.236
Sc 0.000 0.499 0.500

---

Material: CsK2Tl3I6
Method: DFT, PBE
State: relaxed

Calculated values
SG: No. 12
Formation energy from raw total energies in eV/f.u.: -12.9
Total energy in eV/f.u.: -32.35

Unit cell a=5.125 b=10.268 c=11.460 alpha=102.57 beta=102.92 gamma=90.00
Element x y z (fractional)
Cs 0.500 0.000 0.000
K 0.830 0.662 0.661
K 0.170 0.338 0.339
Tl 0.500 0.500 0.000
Tl 0.833 0.168 0.666
Tl 0.167 0.832 0.334
I 0.326 0.909 0.651
I 0.666 0.585 0.332
I 0.674 0.091 0.349
I 0.004 0.272 0.008
I 0.996 0.728 0.992
I 0.334 0.415 0.668

---

The following volume values (in Å³/atom) correspond, in order, to the records above: 15.06 23.01 12.92 24.31 29.28 24.50 16.89 15.59 25.06 22.85 23.24 29.98 18.60 10.42 14.35 27.72 24.03 16.58 48.60 21.88 25.74 15.16 47.74.